P) The following is a DFT calculation (PBE) of crystalline Ho3Lu3FeSb2 at its relaxed geometry.

```
9
Lattice="-5.122 3.910 -4.900 -2.190 -1.724 7.600 1.532 3.577 1.253" Properties=species:S:1:pos:R:3 pbc="T T T"
Fe 0.000 0.000 0.000
Ho -3.151 4.779 -3.121
Ho -0.954 2.303 1.261
Ho -0.909 0.470 6.439
Lu -2.007 1.532 -1.920
Lu -0.858 -0.676 2.979
Lu -4.446 1.329 1.642
Sb -3.379 3.820 -0.107
Sb -2.401 1.943 4.060
```

Computed properties:
Its crystal system is hexagonal. Its total magnetic moment is 0.0021 μB/atom.


Q) The following is a DFT calculation (PBE) of crystalline Ho3Lu3FeSb2 at its relaxed geometry.

```
9
Lattice="-1.415 -4.611 6.453 -1.147 -2.968 -7.401 3.890 -1.305 -0.079" Properties=species:S:1:pos:R:3 pbc="T T T"
Fe 0.000 0.000 0.000
Ho -0.557 -1.813 2.538
Ho -0.451 -1.167 -2.911
Ho -1.554 -4.598 -0.575
Lu 0.857 -4.198 4.922
Lu 1.353 -2.403 -0.259
Lu 1.063 -2.935 -5.731
Sb 0.619 -4.716 1.795
Sb 0.708 -4.168 -2.823
```

Computed properties:
Its crystal system is hexagonal. Its total magnetic moment is 0.0005 μB/atom.


Q) comes first in stability; the runner-up is 67 meV/atom higher.


P) The following is a DFT calculation (PBE) of crystalline HoFeMo at its relaxed geometry.

```
3
Lattice="3.495 -0.696 2.442 1.474 3.119 2.600 -0.401 -0.390 4.283" Properties=species:S:1:pos:R:3 pbc="T T T"
Fe 0.000 0.000 0.000
Ho 1.142 0.508 2.331
Mo 3.426 1.525 6.994
```

Computed properties:
Its crystal system is cubic. Its total magnetic moment is 0.0044 μB/atom.


Q) The following is a DFT calculation (PBE) of crystalline HoFeMo at its relaxed geometry.

```
3
Lattice="3.016 -2.645 1.921 1.123 0.632 4.257 -1.265 -2.935 3.093" Properties=species:S:1:pos:R:3 pbc="T T T"
Fe 2.155 -3.711 6.954
Ho 0.000 0.000 0.000
Mo 0.718 -1.237 2.318
```

Computed properties:
Its crystal system is cubic. Its total magnetic moment is 1.3760 μB/atom.


P) comes first in stability; the runner-up is 1070 meV/atom higher.


P) The following is a DFT calculation (PBE) of crystalline NaHoFeSe3 at its relaxed geometry.

```
24
Lattice="13.783 0.000 0.000 0.000 3.972 0.000 0.000 0.000 10.967" Properties=species:S:1:pos:R:3 pbc="T T T"
Fe 7.010 2.979 0.879
Fe 0.118 2.979 4.605
Fe 13.665 0.993 6.362
Fe 6.773 0.993 10.089
Ho 0.198 0.993 1.734
Ho 7.090 0.993 3.750
Ho 6.693 2.979 7.217
Ho 13.585 2.979 9.234
Na 10.047 0.993 0.560
Na 3.156 0.993 4.924
Na 10.627 2.979 6.043
Na 3.736 2.979 10.408
Se 12.233 2.979 0.732
Se 5.518 0.993 1.252
Se 8.746 2.979 2.569
Se 1.855 2.979 2.915
Se 12.410 0.993 4.232
Se 5.341 2.979 4.751
Se 8.442 0.993 6.216
Se 1.373 2.979 6.736
Se 11.928 0.993 8.052
Se 5.037 0.993 8.398
Se 8.265 2.979 9.715
Se 1.550 0.993 10.235
```

Computed properties:
Its crystal system is orthorhombic. Its total magnetic moment is 0.6355 μB/atom.


Q) The following is a DFT calculation (PBE) of crystalline NaHoFeSe3 at its relaxed geometry.

```
12
Lattice="-1.332 -1.606 -10.485 -6.719 -1.833 1.134 -6.703 2.139 0.524" Properties=species:S:1:pos:R:3 pbc="T T T"
Fe -6.322 0.144 0.781
Fe -7.766 -0.641 -4.365
Ho -0.333 -0.402 -2.621
Ho -0.999 -1.205 -7.864
Na -3.947 -0.728 -4.837
Na -10.141 0.232 1.253
Se -1.072 0.024 0.132
Se -5.105 -0.177 -1.278
Se -5.960 -1.207 -8.005
Se -8.983 -0.320 -2.307
Se -9.460 -0.896 -6.064
Se -13.016 -0.521 -3.717
```

Computed properties:
Its crystal system is orthorhombic. Its total magnetic moment is 0.6655 μB/atom.


P) comes first in stability; the runner-up is 28 meV/atom higher.


P) The following is a DFT calculation (PBE) of crystalline NaHoFeSe3 at its relaxed geometry.

```
12
Lattice="-6.213 5.146 -0.853 -1.721 -2.496 -2.524 -2.377 -5.804 7.361" Properties=species:S:1:pos:R:3 pbc="T T T"
Fe -8.046 0.504 0.363
Fe -2.265 -3.658 3.620
Ho -4.978 1.993 -0.119
Ho -5.333 -5.148 4.103
Na -2.451 -1.007 1.125
Na -7.860 -2.147 2.859
Se -4.328 -0.558 -1.122
Se -7.458 1.958 -1.476
Se -6.265 0.613 2.124
Se -4.046 -3.768 1.860
Se -2.853 -5.113 5.460
Se -5.983 -2.596 5.105
```

Computed properties:
Its crystal system is monoclinic. Its total magnetic moment is 0.6289 μB/atom.


Q) The following is a DFT calculation (PBE) of crystalline NaHoFeSe3 at its relaxed geometry.

```
24
Lattice="10.737 0.000 0.000 0.000 4.037 0.000 0.000 0.000 13.468" Properties=species:S:1:pos:R:3 pbc="T T T"
Fe 2.524 3.028 2.976
Fe 7.892 3.028 3.758
Fe 2.844 1.009 9.710
Fe 8.213 1.009 10.492
Ho 5.201 1.009 3.251
Ho 10.569 1.009 3.483
Ho 0.167 3.028 9.985
Ho 5.536 3.028 10.217
Na 2.334 1.009 0.056
Na 7.703 1.009 6.678
Na 3.034 3.028 6.790
Na 8.402 3.028 13.412
Se 4.378 3.028 1.438
Se 0.541 3.028 1.601
Se 7.921 1.009 2.299
Se 2.553 1.009 4.435
Se 5.909 3.028 5.133
Se 9.746 3.028 5.296
Se 0.991 1.009 8.172
Se 4.828 1.009 8.335
Se 8.184 3.028 9.033
Se 2.815 3.028 11.169
Se 10.196 1.009 11.867
Se 6.359 1.009 12.030
```

Computed properties:
Its crystal system is orthorhombic. Its total magnetic moment is 0.6667 μB/atom.


R) The following is a DFT calculation (PBE) of crystalline NaHoFeSe3 at its relaxed geometry.

```
24
Lattice="11.147 0.000 0.000 0.000 4.135 0.000 0.000 0.000 12.062" Properties=species:S:1:pos:R:3 pbc="T T T"
Fe 2.762 3.101 2.583
Fe 8.335 3.101 3.448
Fe 2.811 1.034 8.614
Fe 8.385 1.034 9.479
Ho 10.952 1.034 2.248
Ho 5.379 1.034 3.784
Ho 5.768 3.101 8.279
Ho 0.195 3.101 9.815
Na 3.603 1.034 0.031
Na 9.176 1.034 6.001
Na 1.971 3.101 6.062
Na 7.544 3.101 12.032
Se 1.156 3.101 0.775
Se 5.020 3.101 1.788
Se 8.004 1.034 2.195
Se 2.431 1.034 3.836
Se 10.593 3.101 4.243
Se 6.729 3.101 5.256
Se 4.417 1.034 6.806
Se 0.554 1.034 7.819
Se 8.716 3.101 8.226
Se 3.142 3.101 9.867
Se 6.127 1.034 10.274
Se 9.991 1.034 11.287
```

Computed properties:
Its crystal system is orthorhombic. Its total magnetic moment is 0.6664 μB/atom.


S) The following is a DFT calculation (PBE) of crystalline NaHoFeSe3 at its relaxed geometry.

```
24
Lattice="8.168 0.000 0.000 0.000 4.169 0.000 0.000 0.000 16.076" Properties=species:S:1:pos:R:3 pbc="T T T"
Fe 3.083 3.127 2.255
Fe 7.167 3.127 5.783
Fe 1.000 1.042 10.293
Fe 5.084 1.042 13.822
Ho 6.107 3.127 0.727
Ho 2.024 3.127 7.312
Ho 6.144 1.042 8.765
Ho 2.060 1.042 15.350
Na 0.622 1.042 3.456
Na 4.706 1.042 4.583
Na 3.462 3.127 11.494
Na 7.546 3.127 12.621
Se 1.020 3.127 0.941
Se 4.137 1.042 1.462
Se 6.601 3.127 3.487
Se 2.517 3.127 4.551
Se 0.053 1.042 6.577
Se 5.103 3.127 7.097
Se 3.064 1.042 8.979
Se 8.115 3.127 9.500
Se 5.651 1.042 11.525
Se 1.567 1.042 12.590
Se 4.031 3.127 14.615
Se 7.148 1.042 15.135
```

Computed properties:
Its crystal system is orthorhombic. Its total magnetic moment is 0.6666 μB/atom.


P) comes first in stability; the runner-up is 24 meV/atom higher.


P) The following is a DFT calculation (PBE) of crystalline HoNbFe at its relaxed geometry.

```
3
Lattice="2.422 -0.477 3.780 -1.382 -2.843 3.224 2.270 -3.828 0.759" Properties=species:S:1:pos:R:3 pbc="T T T"
Fe 2.483 -5.361 5.822
Ho 0.000 0.000 0.000
Nb 0.828 -1.787 1.941
```

Computed properties:
Its crystal system is cubic. Its total magnetic moment is 0.2854 μB/atom.


Q) The following is a DFT calculation (PBE) of crystalline HoNbFe at its relaxed geometry.

```
3
Lattice="0.000 3.107 3.107 3.107 0.000 3.107 3.107 3.107 0.000" Properties=species:S:1:pos:R:3 pbc="T T T"
Fe 0.000 0.000 0.000
Ho 1.553 1.553 1.553
Nb 4.660 4.660 4.660
```

Computed properties:
Its crystal system is cubic. Its total magnetic moment is 0.0309 μB/atom.


Q) comes first in stability; the runner-up is 1054 meV/atom higher.


P) The following is a DFT calculation (PBE) of crystalline HoFe2Ni3 at its relaxed geometry.

```
6
Lattice="2.402 -4.299 0.000 2.402 4.299 0.000 0.000 0.000 3.999" Properties=species:S:1:pos:R:3 pbc="T T T"
Fe 1.201 -2.149 2.000
Fe 1.201 2.149 2.000
Ho 0.000 0.000 0.000
Ni 2.402 -1.494 0.000
Ni 2.402 1.494 0.000
Ni 2.402 0.000 2.000
```

Computed properties:
Its crystal system is orthorhombic. Its total magnetic moment is 0.9515 μB/atom.


Q) The following is a DFT calculation (PBE) of crystalline HoFe2Ni3 at its relaxed geometry.

```
6
Lattice="2.465 -4.269 0.000 2.465 4.269 0.000 0.000 0.000 3.920" Properties=species:S:1:pos:R:3 pbc="T T T"
Fe 2.465 -1.423 0.000
Fe 2.465 1.423 0.000
Ho 0.000 0.000 0.000
Ni 1.232 -2.135 1.960
Ni 1.232 2.135 1.960
Ni 2.465 0.000 1.960
```

Computed properties:
Its crystal system is hexagonal. Its total magnetic moment is 1.0702 μB/atom.


P) comes first in stability; the runner-up is 38 meV/atom higher.


P) The following is a DFT calculation (PBE) of crystalline HoFe3Ni2 at its relaxed geometry.

```
6
Lattice="-1.503 1.991 4.187 -3.156 -2.417 -2.820 0.888 -3.438 1.953" Properties=species:S:1:pos:R:3 pbc="T T T"
Fe -0.307 -0.723 3.070
Fe -1.134 -2.927 -0.434
Fe -1.886 -1.932 1.660
Ho 0.000 0.000 0.000
Ni -2.054 0.521 1.852
Ni -2.605 -0.948 -0.484
```

Computed properties:
Its crystal system is hexagonal. Its total magnetic moment is 1.2817 μB/atom.


Q) The following is a DFT calculation (PBE) of crystalline HoFe3Ni2 at its relaxed geometry.

```
6
Lattice="2.507 -4.242 0.000 2.507 4.242 0.000 0.000 0.000 3.930" Properties=species:S:1:pos:R:3 pbc="T T T"
Fe 2.507 -1.352 0.000
Fe 2.507 1.352 0.000
Fe 2.507 0.000 1.965
Ho 0.000 0.000 0.000
Ni 1.253 -2.121 1.965
Ni 1.253 2.121 1.965
```

Computed properties:
Its crystal system is orthorhombic. Its total magnetic moment is 1.3389 μB/atom.


Q) comes first in stability; the runner-up is 7 meV/atom higher.


P) The following is a DFT calculation (PBE) of crystalline HoFeRe at its relaxed geometry.

```
3
Lattice="1.947 3.628 1.726 -1.403 1.640 3.908 2.577 -0.362 3.627" Properties=species:S:1:pos:R:3 pbc="T T T"
Fe 0.780 1.227 2.315
Ho 0.000 0.000 0.000
Re 2.340 3.680 6.946
```

Computed properties:
Its crystal system is cubic. Its total magnetic moment is 1.3938 μB/atom.


Q) The following is a DFT calculation (PBE) of crystalline HoFeRe at its relaxed geometry.

```
3
Lattice="-2.711 2.030 2.616 -0.068 4.277 0.110 -3.342 2.129 -1.616" Properties=species:S:1:pos:R:3 pbc="T T T"
Fe 0.000 0.000 0.000
Ho -1.530 2.109 0.278
Re -4.591 6.327 0.833
```

Computed properties:
Its crystal system is cubic. Its total magnetic moment is 0.0051 μB/atom.


Q) comes first in stability; the runner-up is 1068 meV/atom higher.


P) The following is a DFT calculation (PBE) of crystalline Ho3Tm3FeSb2 at its relaxed geometry.

```
9
Lattice="-7.881 -1.906 0.660 5.499 -3.760 4.668 -0.457 2.879 2.858" Properties=species:S:1:pos:R:3 pbc="T T T"
Fe 0.000 0.000 0.000
Ho -6.272 -0.022 1.935
Ho -0.784 0.119 2.671
Ho 3.988 -1.444 5.009
Sb -3.649 -1.084 3.425
Sb 0.811 -1.702 4.761
Tm -3.128 -0.757 0.262
Tm 2.183 -1.493 1.853
Tm -1.436 -3.417 3.213
```

Computed properties:
Its crystal system is hexagonal. Its total magnetic moment is 0.0035 μB/atom.


Q) The following is a DFT calculation (PBE) of crystalline Ho3Tm3FeSb2 at its relaxed geometry.

```
9
Lattice="8.108 0.000 0.000 -4.054 7.021 0.000 0.000 0.000 4.110" Properties=species:S:1:pos:R:3 pbc="T T T"
Fe 0.000 0.000 0.000
Ho 3.200 0.000 0.000
Ho -1.600 2.772 0.000
Ho 2.454 4.250 0.000
Sb 4.054 2.340 2.055
Sb 0.000 4.681 2.055
Tm 6.225 0.000 2.055
Tm 0.941 1.630 2.055
Tm -3.112 5.391 2.055
```

Computed properties:
Its crystal system is hexagonal. Its total magnetic moment is 0.0765 μB/atom.


Q) comes first in stability; the runner-up is 40 meV/atom higher.


P) The following is a DFT calculation (PBE) of crystalline Ho3Zr3FeSb2 at its relaxed geometry.

```
9
Lattice="-0.549 7.732 -2.139 -0.085 -5.744 -5.627 -3.742 -0.195 0.256" Properties=species:S:1:pos:R:3 pbc="T T T"
Fe 0.000 0.000 0.000
Ho -2.005 1.789 -0.394
Ho -1.892 -1.499 -1.245
Ho -2.351 1.405 -5.742
Sb -2.265 3.142 -3.173
Sb -2.111 -1.349 -4.336
Zr -0.329 4.630 -1.281
Zr -0.254 0.797 -3.115
Zr -0.051 -3.440 -3.369
```

Computed properties:
Its crystal system is hexagonal. Its total magnetic moment is 0.0965 μB/atom.


Q) The following is a DFT calculation (PBE) of crystalline Ho3Zr3FeSb2 at its relaxed geometry.

```
9
Lattice="7.882 0.000 0.000 -3.941 6.826 0.000 0.000 0.000 4.038" Properties=species:S:1:pos:R:3 pbc="T T T"
Fe 0.000 0.000 0.000
Ho 4.742 0.000 0.000
Ho 1.570 2.720 0.000
Ho -2.371 4.107 0.000
Sb 3.941 2.275 2.019
Sb 0.000 4.551 2.019
Zr 1.780 0.000 2.019
Zr -0.890 1.541 2.019
Zr 3.051 5.285 2.019
```

Computed properties:
Its crystal system is hexagonal. Its total magnetic moment is 0.2960 μB/atom.


Q) comes first in stability; the runner-up is 164 meV/atom higher.